# 1
Material: KHfSiN3
Method: DFT, GGA-PBE
State: relaxed

Cell: 7.3755 3.1745 9.0821 Å, 90.00 101.32 90.00°
Fractional positions:
K (0.1636, 0.2500, 0.2126)
K (0.8364, 0.7500, 0.7874)
Hf (0.3806, 0.7500, 0.8728)
Hf (0.6194, 0.2500, 0.1272)
Si (0.1123, 0.2500, 0.5861)
Si (0.8877, 0.7500, 0.4139)
N (0.1360, 0.7500, 0.4935)
N (0.1909, 0.2500, 0.7727)
N (0.4165, 0.7500, 0.0991)
N (0.5835, 0.2500, 0.9009)
N (0.8091, 0.7500, 0.2273)
N (0.8640, 0.2500, 0.5065)

## Properties
- crystal system = monoclinic
- total energy (Ha/atom) = -0.2911
- calculated volume (A^3/atom) = 17.38
- space-group type = P2_1/m, No. 11
- formation energy without anion corrections (meV per atom) = -1012


# 2
Material: KHfTeN2
Method: DFT, GGA-PBE
State: relaxed

Cell: 4.5442 4.5442 6.1126 Å, 90.00 90.00 90.00°
Fractional positions:
K (0.0000, 0.0000, 0.0000)
Hf (0.5000, 0.5000, 0.5000)
Te (0.0000, 0.0000, 0.5000)
N (0.0000, 0.5000, 0.0000)
N (0.5000, 0.0000, 0.0000)

## Properties
- offset from the most stable computed form (meV per atom) = 2053
- crystal system = tetragonal
- total energy (Ha/atom) = -0.1485
- calculated volume (A^3/atom) = 25.24
- space-group type = P4/mmm, No. 123
- formation energy without anion corrections (meV per atom) = 2127